# BaTaCr2Mo (PBE, relaxed)
# **Magnetic moment**: 4.3 μB/f.u.
# **ΔH_f (0 K)**: 2.85 eV/atom
data_BaTaCr2Mo
_chemical_formula_sum 'Ba1 Ta1 Cr2 Mo1'
_cell_length_a 4.731
_cell_length_b 5.009
_cell_length_c 4.731
_cell_angle_alpha 90.00
_cell_angle_beta 90.00
_cell_angle_gamma 90.00
_symmetry_space_group_name_H-M 'P 1'
_symmetry_Int_Tables_number 1
loop_
_symmetry_equiv_pos_as_xyz
'x,y,z'
loop_
_atom_site_label
_atom_site_type_symbol
_atom_site_fract_x
_atom_site_fract_y
_atom_site_fract_z
_atom_site_occupancy
Cr1 Cr 0.000 0.000 0.500 1
Cr2 Cr 0.500 0.000 0.000 1
Mo1 Mo 0.000 0.500 0.000 1
Ba1 Ba 0.000 0.000 0.000 1
Ta1 Ta 0.500 0.500 0.500 1

---

# Rb7IBr2O2 (PBE, relaxed)
# **Magnetic moment**: 0.2 μB/f.u.
# **Formation energy from raw total energies**: -1.27 eV per atom
data_Rb7IBr2O2
_chemical_formula_sum 'Rb7 I1 Br2 O2'
_cell_length_a 5.055
_cell_length_b 7.358
_cell_length_c 14.034
_cell_angle_alpha 105.20
_cell_angle_beta 100.38
_cell_angle_gamma 90.00
_symmetry_space_group_name_H-M 'P 1'
_symmetry_Int_Tables_number 1
loop_
_symmetry_equiv_pos_as_xyz
'x,y,z'
loop_
_atom_site_label
_atom_site_type_symbol
_atom_site_fract_x
_atom_site_fract_y
_atom_site_fract_z
_atom_site_occupancy
Rb1 Rb 0.409 0.803 0.818 1
Rb2 Rb 0.707 0.781 0.414 1
Rb3 Rb 0.115 0.502 0.229 1
Rb4 Rb 0.591 0.985 0.182 1
Rb5 Rb 0.293 0.368 0.586 1
Rb6 Rb 0.885 0.273 0.771 1
Rb7 Rb 0.500 0.456 0.000 1
I1 I 0.000 0.069 0.000 1
Br1 Br 0.293 0.876 0.585 1
Br2 Br 0.707 0.290 0.415 1
O1 O 0.397 0.445 0.794 1
O2 O 0.603 0.652 0.206 1

---

# DyTh2Ru (PBE, relaxed)
# **Energy above the lowest structure with this stoichiometry**: 205 meV/atom
# **Magnetic moment**: 0.0 μB/f.u.
# **ΔH_f (0 K)**: -0.10 eV/atom
data_DyTh2Ru
_chemical_formula_sum 'Dy1 Th2 Ru1'
_cell_length_a 3.633
_cell_length_b 3.633
_cell_length_c 8.252
_cell_angle_alpha 90.00
_cell_angle_beta 90.00
_cell_angle_gamma 90.00
_symmetry_space_group_name_H-M 'P 1'
_symmetry_Int_Tables_number 1
loop_
_symmetry_equiv_pos_as_xyz
'x,y,z'
loop_
_atom_site_label
_atom_site_type_symbol
_atom_site_fract_x
_atom_site_fract_y
_atom_site_fract_z
_atom_site_occupancy
Ru1 Ru 0.500 0.500 0.000 1
Th1 Th 0.000 0.000 0.799 1
Th2 Th 0.000 0.000 0.201 1
Dy1 Dy 0.500 0.500 0.500 1

---

no.,ρ (Mg/m³)
1,7.677
2,3.077
3,11.096